(1)
# Nd3Zn2Ag GGA-PBE optimized geometry
# uncorrected energy	-3.58	eV/atom
# formation enthalpy at 0 K	-0.3001	eV per atom
# Fermi-level density of states	0.978	states/eV per atom
# volume	25.468	Å³ per atom
# M_tot	0.000	μB/cell
data_Nd3Zn2Ag
_cell_length_a 3.723
_cell_length_b 3.723
_cell_length_c 11.027
_cell_angle_alpha 90.00
_cell_angle_beta 90.00
_cell_angle_gamma 90.00
_symmetry_space_group_name_H-M 'P 4/m m m'
_symmetry_Int_Tables_number 123
_symmetry_space_group_name_Hall '-P 4 2'
loop_
_atom_site_label
_atom_site_type_symbol
_atom_site_fract_x
_atom_site_fract_y
_atom_site_fract_z
Nd1 Nd 0.000 0.000 0.000
Nd2 Nd 0.000 0.000 0.325
Zn1 Zn 0.500 0.500 0.161
Ag1 Ag 0.500 0.500 0.500

=====

(2)
# Nd3Zn2Ag3 GGA-PBE optimized geometry
# uncorrected energy	-3.45	eV/atom
# formation enthalpy at 0 K	-0.2702	eV per atom
# Fermi-level density of states	0.813	states/eV per atom
# volume	23.900	Å³ per atom
# energy above the most stable polymorph in this dataset	13	meV per atom
# M_tot	0.000	μB/cell
data_Nd3Zn2Ag3
_cell_length_a 8.247
_cell_length_b 16.292
_cell_length_c 5.693
_cell_angle_alpha 90.00
_cell_angle_beta 90.00
_cell_angle_gamma 90.00
_symmetry_space_group_name_H-M 'P n m a'
_symmetry_Int_Tables_number 62
_symmetry_space_group_name_Hall '-P 2ac 2n'
loop_
_atom_site_label
_atom_site_type_symbol
_atom_site_fract_x
_atom_site_fract_y
_atom_site_fract_z
Nd1 Nd 0.044 0.107 0.130
Nd2 Nd 0.178 0.250 0.632
Zn1 Zn 0.109 0.609 0.370
Ag1 Ag 0.171 0.750 0.630
Ag2 Ag 0.181 0.035 0.600

=====

(3)
# NdZn6Ag GGA-PBE optimized geometry
# uncorrected energy	-2.05	eV/atom
# formation enthalpy at 0 K	-0.1438	eV per atom
# Fermi-level density of states	0.531	states/eV per atom
# volume	19.046	Å³ per atom
# M_tot	0.000	μB/cell
data_NdZn6Ag
_cell_length_a 4.210
_cell_length_b 4.210
_cell_length_c 8.595
_cell_angle_alpha 90.00
_cell_angle_beta 90.00
_cell_angle_gamma 90.00
_symmetry_space_group_name_H-M 'P 4/m m m'
_symmetry_Int_Tables_number 123
_symmetry_space_group_name_Hall '-P 4 2'
loop_
_atom_site_label
_atom_site_type_symbol
_atom_site_fract_x
_atom_site_fract_y
_atom_site_fract_z
Nd1 Nd 0.000 0.000 0.000
Zn1 Zn 0.000 0.500 0.314
Zn2 Zn 0.500 0.500 0.142
Ag1 Ag 0.000 0.000 0.500

=====

(4)
# Nd6ZnAg5 GGA-PBE optimized geometry
# uncorrected energy	-3.94	eV/atom
# formation enthalpy at 0 K	-0.2643	eV per atom
# Fermi-level density of states	0.835	states/eV per atom
# volume	26.273	Å³ per atom
# M_tot	0.003	μB/cell
data_Nd6ZnAg5
_cell_length_a 5.330
_cell_length_b 7.405
_cell_length_c 8.413
_cell_angle_alpha 90.00
_cell_angle_beta 108.28
_cell_angle_gamma 90.00
_symmetry_space_group_name_H-M 'P 1 2/m 1'
_symmetry_Int_Tables_number 10
_symmetry_space_group_name_Hall '-P 2y'
loop_
_atom_site_label
_atom_site_type_symbol
_atom_site_fract_x
_atom_site_fract_y
_atom_site_fract_z
Nd1 Nd 0.000 0.249 0.000
Nd2 Nd 0.333 0.249 0.668
Zn1 Zn 0.500 0.000 0.000
Ag1 Ag 0.166 0.000 0.329
Ag2 Ag 0.169 0.500 0.335
Ag3 Ag 0.500 0.500 0.000

=====

(5)
# Nd2Zn3Ag5 GGA-PBE optimized geometry
# uncorrected energy	-2.97	eV/atom
# formation enthalpy at 0 K	-0.2088	eV per atom
# Fermi-level density of states	0.482	states/eV per atom
# volume	20.659	Å³ per atom
# M_tot	0.000	μB/cell
data_Nd2Zn3Ag5
_cell_length_a 10.533
_cell_length_b 13.789
_cell_length_c 5.690
_cell_angle_alpha 90.00
_cell_angle_beta 90.00
_cell_angle_gamma 90.00
_symmetry_space_group_name_H-M 'I b a m'
_symmetry_Int_Tables_number 72
_symmetry_space_group_name_Hall '-I 2 2c'
loop_
_atom_site_label
_atom_site_type_symbol
_atom_site_fract_x
_atom_site_fract_y
_atom_site_fract_z
Nd1 Nd 0.212 0.153 0.000
Zn1 Zn 0.000 0.500 0.250
Zn2 Zn 0.085 0.156 0.500
Ag1 Ag 0.000 0.000 0.250
Ag2 Ag 0.000 0.306 0.250
Ag3 Ag 0.194 0.427 0.000

=====

(6)
# Nd4ZnAg GGA-PBE optimized geometry
# uncorrected energy	-4.03	eV/atom
# formation enthalpy at 0 K	-0.1682	eV per atom
# Fermi-level density of states	1.274	states/eV per atom
# volume	29.233	Å³ per atom
# energy above the most stable polymorph in this dataset	0	meV per atom
# M_tot	0.934	μB/cell
data_Nd4ZnAg
_cell_length_a 3.717
_cell_length_b 3.717
_cell_length_c 12.697
_cell_angle_alpha 90.00
_cell_angle_beta 90.00
_cell_angle_gamma 90.00
_symmetry_space_group_name_H-M 'P 4/m m m'
_symmetry_Int_Tables_number 123
_symmetry_space_group_name_Hall '-P 4 2'
loop_
_atom_site_label
_atom_site_type_symbol
_atom_site_fract_x
_atom_site_fract_y
_atom_site_fract_z
Nd1 Nd 0.000 0.000 0.142
Nd2 Nd 0.500 0.500 0.350
Zn1 Zn 0.500 0.500 0.000
Ag1 Ag 0.000 0.000 0.500

=====

(7)
# Nd3Zn2Ag4 GGA-PBE optimized geometry
# uncorrected energy	-3.44	eV/atom
# formation enthalpy at 0 K	-0.2979	eV per atom
# Fermi-level density of states	0.741	states/eV per atom
# volume	23.035	Å³ per atom
# M_tot	0.005	μB/cell
data_Nd3Zn2Ag4
_cell_length_a 10.865
_cell_length_b 4.737
_cell_length_c 8.988
_cell_angle_alpha 90.00
_cell_angle_beta 116.31
_cell_angle_gamma 90.00
_symmetry_space_group_name_H-M 'C 1 2/m 1'
_symmetry_Int_Tables_number 12
_symmetry_space_group_name_Hall '-C 2y'
loop_
_atom_site_label
_atom_site_type_symbol
_atom_site_fract_x
_atom_site_fract_y
_atom_site_fract_z
Nd1 Nd 0.000 0.000 0.000
Nd2 Nd 0.164 0.500 0.668
Zn1 Zn 0.116 0.500 0.285
Ag1 Ag 0.062 0.000 0.389
Ag2 Ag 0.219 0.500 0.062

=====

(8)
# Nd11Zn9Ag4 GGA-PBE optimized geometry
# uncorrected energy	-3.40	eV/atom
# formation enthalpy at 0 K	-0.2587	eV per atom
# Fermi-level density of states	0.882	states/eV per atom
# volume	25.080	Å³ per atom
# M_tot	0.001	μB/cell
data_Nd11Zn9Ag4
_cell_length_a 14.818
_cell_length_b 21.675
_cell_length_c 3.748
_cell_angle_alpha 90.00
_cell_angle_beta 90.00
_cell_angle_gamma 90.00
_symmetry_space_group_name_H-M 'C m m m'
_symmetry_Int_Tables_number 65
_symmetry_space_group_name_Hall '-C 2 2'
loop_
_atom_site_label
_atom_site_type_symbol
_atom_site_fract_x
_atom_site_fract_y
_atom_site_fract_z
Nd1 Nd 0.000 0.000 0.000
Nd2 Nd 0.000 0.173 0.000
Nd3 Nd 0.000 0.349 0.000
Nd4 Nd 0.240 0.172 0.000
Nd5 Nd 0.246 0.000 0.000
Zn1 Zn 0.000 0.500 0.500
Zn2 Zn 0.115 0.259 0.500
Zn3 Zn 0.122 0.083 0.500
Ag1 Ag 0.140 0.414 0.500